[1]
The following is a DFT calculation (PBE-GGA) of Cs2Pa2AgO7 after structural relaxation.

Its total energy is -175.05 eV/cell. For the total magnetization, the calculation gives 0.0 μB per formula unit. The value obtained for the raw formation energy is -29.269 eV/f.u.

It has space group I4/mmm (No. 139), with a = 4.4184 Å, b = 4.4184 Å, c = 23.9149 Å, α = 90.00°, β = 90.00° and γ = 90.00°. The inequivalent atoms are Cs at (0.0000, 0.0000, 0.1905), Pa at (0.0000, 0.0000, 0.4107), Ag at (0.0000, 0.0000, 0.0000), O at (0.0000, 0.0000, 0.3255), O at (0.0000, 0.0000, 0.5000) and O at (0.0000, 0.5000, 0.0867).

[2]
The following is a DFT calculation (PBE-GGA) of Ca2ScCr after structural relaxation.

Its total energy is -35.86 eV/cell. As for the formation enthalpy at 0 K: 0.51 eV per atom. For the total magnetization, the calculation gives 5.2 μB per formula unit. The polymorph energy (0 for the lowest one) is 209 meV per atom.

It has space group Cmmm (No. 65), with a = 4.9466 Å, b = 4.9599 Å, c = 9.5155 Å, α = 90.00°, β = 90.00° and γ = 90.00°. The inequivalent atoms are Ca at (0.0000, 0.0000, 0.2239), Sc at (0.0000, 0.5000, 0.5000) and Cr at (0.0000, 0.5000, 0.0000).

[3]
The following is a DFT calculation (PBE-GGA) of PrEuDy4 after structural relaxation.

Its total energy is -127.92 eV/cell. As for the formation enthalpy at 0 K: 0.25 eV per atom. For the total magnetization, the calculation gives 7.0 μB per formula unit.

It has space group F-43m (No. 216), with a = 9.5128 Å, b = 9.5128 Å, c = 9.5128 Å, α = 90.00°, β = 90.00° and γ = 90.00°. The inequivalent atoms are Pr at (0.0000, 0.0000, 0.0000), Eu at (0.2500, 0.2500, 0.7500) and Dy at (0.1264, 0.1264, 0.3736).

[4]
The following is a DFT calculation (PBE-GGA) of Te3Pb after structural relaxation.

Its total energy is -54.29 eV/cell. For the total magnetization, the calculation gives 0.0 μB per formula unit. The value obtained for the raw formation energy is -0.439 eV/f.u.

It has space group Pnma (No. 62), with a = 8.0086 Å, b = 8.1519 Å, c = 8.9475 Å, α = 90.00°, β = 90.00° and γ = 90.00°. The inequivalent atoms are Te at (0.0637, 0.2500, 0.2343), Te at (0.2404, 0.0043, 0.8723) and Pb at (0.0638, 0.2500, 0.6082).

[5]
The following is a DFT calculation (PBE-GGA) of ScNb2Ni9 after structural relaxation.

Its total energy is -245.15 eV/cell. As for the formation enthalpy at 0 K: -0.27 eV per atom. For the total magnetization, the calculation gives 0.0 μB per formula unit. The polymorph energy (0 for the lowest one) is 17 meV per atom.

It has space group R-3m (No. 166, hexagonal axes), with a = 4.7704 Å, b = 4.7704 Å, c = 23.5551 Å, α = 90.00°, β = 90.00° and γ = 120.00°. The inequivalent atoms are Sc at (0.0000, 0.0000, 0.0000), Nb at (0.0000, 0.0000, 0.1398), Ni at (0.0000, 0.0000, 0.3337), Ni at (0.0000, 0.0000, 0.5000) and Ni at (0.0042, 0.5021, 0.9145).

[6]
The following is a DFT calculation (PBE-GGA) of Ta2Ag2Ir after structural relaxation.

Its total energy is -70.55 eV/cell. As for the formation enthalpy at 0 K: 0.60 eV per atom. For the total magnetization, the calculation gives 0.0 μB per formula unit. The polymorph energy (0 for the lowest one) is 0 meV per atom.

It has space group I4/mmm (No. 139), with a = 3.5856 Å, b = 3.5856 Å, c = 14.8930 Å, α = 90.00°, β = 90.00° and γ = 90.00°. The inequivalent atoms are Ta at (0.0000, 0.0000, 0.0839), Ag at (0.0000, 0.5000, 0.2500) and Ir at (0.0000, 0.0000, 0.5000).